w:
AcGd2Tc | PBE-GGA | relaxed

abc: 3.5817 3.5817 11.3677
angles: 80.94 80.94 60.00
With the nearest neighbours (Å) after each atom.
Sites, in units of the cell vectors:
Gd (0.8921, 0.8921, 0.3237)  3 Tc 2.86
Gd (0.1079, 0.1079, 0.6763)  3 Tc 2.86
Tc (0.5000, 0.5000, 0.5000)  6 Gd 2.86
Ac (0.0000, 0.0000, 0.0000)  6 Ac 3.58, 2 Gd 3.62

DOS(E_F) (states/eV per atom): 1.2586

=====

x:
AcGd2Tc | PBE-GGA | relaxed

abc: 3.5452 3.5452 9.4623
angles: 90.00 90.00 90.00
With the nearest neighbours (Å) after each atom.
Sites, in units of the cell vectors:
Gd (0.0000, 0.0000, 0.1738)  4 Tc 3.00, 1 Gd 3.29
Gd (0.0000, 0.0000, 0.8262)  4 Tc 3.00, 1 Gd 3.29
Ac (0.5000, 0.5000, 0.5000)  4 Ac 3.55
Tc (0.5000, 0.5000, 0.0000)  8 Gd 3.00

DOS(E_F) (states/eV per atom): 1.6303

=====

Question: which arrangement is favored energetically? Ranking from most to least stable: x, w.

=====

w:
AcGdTe2 | PBE-GGA | relaxed

abc: 5.6014 5.6014 5.6014
angles: 60.00 60.00 60.00
With the nearest neighbours (Å) after each atom.
Sites, in units of the cell vectors:
Ac (0.0000, 0.0000, 0.0000)  8 Te 3.43
Te (0.7500, 0.7500, 0.7500)  4 Gd 3.43, 4 Ac 3.43
Te (0.2500, 0.2500, 0.2500)  4 Ac 3.43, 4 Gd 3.43
Gd (0.5000, 0.5000, 0.5000)  8 Te 3.43

DOS(E_F) (states/eV per atom): 1.4719

=====

x:
AcGdTe2 | PBE-GGA | relaxed

abc: 3.9433 3.9433 7.9303
angles: 90.00 90.00 90.00
With the nearest neighbours (Å) after each atom.
Sites, in units of the cell vectors:
Te (0.0000, 0.0000, 0.2652)  4 Gd 3.35, 4 Ac 3.49, 1 Te 3.72
Te (0.0000, 0.0000, 0.7348)  4 Gd 3.35, 4 Ac 3.49, 1 Te 3.72
Gd (0.5000, 0.5000, 0.5000)  8 Te 3.35
Ac (0.5000, 0.5000, 0.0000)  8 Te 3.49

DOS(E_F) (states/eV per atom): 1.3945

=====

y:
AcGdTe2 | PBE-GGA | relaxed

abc: 4.6599 4.6599 10.2767
angles: 76.90 76.90 60.00
With the nearest neighbours (Å) after each atom.
Sites, in units of the cell vectors:
Te (0.8979, 0.8979, 0.3063)  1 Gd 3.04, 3 Ac 3.31
Te (0.1021, 0.1021, 0.6937)  1 Gd 3.04, 3 Ac 3.31
Gd (0.0000, 0.0000, 0.0000)  2 Te 3.04
Ac (0.5000, 0.5000, 0.5000)  6 Te 3.31

DOS(E_F) (states/eV per atom): 1.7578

=====

Question: which arrangement is favored energetically? Ranking from most to least stable: x, w, y.

=====

w:
Ac2GdTe | PBE-GGA | relaxed

abc: 4.0711 4.0711 12.0007
angles: 80.23 80.23 60.00
With the nearest neighbours (Å) after each atom.
Sites, in units of the cell vectors:
Ac (0.8991, 0.8991, 0.3027)  3 Te 3.30, 1 Gd 3.56
Ac (0.1009, 0.1009, 0.6973)  3 Te 3.30, 1 Gd 3.56
Te (0.5000, 0.5000, 0.5000)  6 Ac 3.30
Gd (0.0000, 0.0000, 0.0000)  2 Ac 3.56

DOS(E_F) (states/eV per atom): 2.3739

=====

x:
Ac2GdTe | PBE-GGA | relaxed

abc: 4.1489 4.1489 8.7304
angles: 90.00 90.00 90.00
With the nearest neighbours (Å) after each atom.
Sites, in units of the cell vectors:
Te (0.5000, 0.5000, 0.5000)  8 Ac 3.53
Gd (0.5000, 0.5000, 0.0000)  8 Ac 3.79, 4 Gd 4.15
Ac (0.0000, 0.0000, 0.7255)  4 Te 3.53, 4 Gd 3.79, 1 Ac 3.94
Ac (0.0000, 0.0000, 0.2745)  4 Te 3.53, 4 Gd 3.79, 1 Ac 3.94

DOS(E_F) (states/eV per atom): 1.1774

=====

Question: which arrangement is favored energetically? Ranking from most to least stable: x, w.

=====

w:
AcGdTh2 | PBE-GGA | relaxed

abc: 3.6421 3.6421 10.5050
angles: 90.00 90.00 90.00
With the nearest neighbours (Å) after each atom.
Sites, in units of the cell vectors:
Gd (0.5000, 0.5000, 0.0000)  8 Th 3.59, 4 Gd 3.64
Th (0.0000, 0.0000, 0.2380)  4 Gd 3.59, 4 Th 3.64, 4 Ac 3.77
Th (0.0000, 0.0000, 0.7620)  4 Gd 3.59, 4 Th 3.64, 4 Ac 3.77
Ac (0.5000, 0.5000, 0.5000)  4 Ac 3.64, 8 Th 3.77

DOS(E_F) (states/eV per atom): 1.9371

=====

x:
AcGdTh2 | PBE-GGA | relaxed

abc: 3.5885 3.5885 12.9739
angles: 82.05 82.05 60.00
With the nearest neighbours (Å) after each atom.
Sites, in units of the cell vectors:
Th (0.9091, 0.9091, 0.2727)  1 Ac 3.49, 3 Gd 3.57, 6 Th 3.59
Th (0.0909, 0.0909, 0.7273)  1 Ac 3.49, 3 Gd 3.57, 6 Th 3.59
Gd (0.5000, 0.5000, 0.5000)  6 Th 3.57, 6 Gd 3.59
Ac (0.0000, 0.0000, 0.0000)  2 Th 3.49, 6 Ac 3.59

DOS(E_F) (states/eV per atom): 1.6076

=====

Question: which arrangement is favored energetically? Ranking from most to least stable: w, x.